[1]
BaSnI2Br, relaxed, DFT PBE; raw formation energy = -730.8 meV per atom; crystal system = tetragonal; SG = P4/mmm (123)
1.0
-5.6175 -1.5860 0.8631
-0.2283 -2.7339 -6.5090
1.7956 -5.2044 2.1230
I Br Ba Sn
2 1 1 1
Direct
0.5000 0.0000 0.0000
0.0000 0.0000 0.5000
0.5000 0.5000 0.5000
0.0000 0.5000 0.0000
0.0000 0.0000 0.0000

***

[2]
ReBiBRh, relaxed, DFT PBE; calculated formation energy = 0.20 eV per atom; relative energy among the computed polymorphs = 40 meV/atom; crystal system = orthorhombic; SG = Amm2 (38)
1.0
-3.0963 -0.0128 -0.0566
0.0576 -0.6075 -3.0132
0.0060 -13.4125 2.7042
B Rh Re Bi
2 2 2 2
Direct
0.0000 0.0000 0.3007
0.0000 0.5000 0.8007
0.0000 0.5000 0.4272
0.0000 0.0000 0.9272
0.5000 0.5000 0.2645
0.5000 0.0000 0.7645
0.5000 0.5000 0.0605
0.5000 0.0000 0.5605

***

[3]
ZrGaRh2Cl, relaxed, DFT PBE; raw formation energy = 431.2 meV per atom; crystal system = tetragonal; SG = P4/mmm (123)
1.0
-1.5011 3.8136 -1.6160
-4.0843 -1.6485 -0.0965
-0.7600 1.6182 4.5250
Rh Zr Cl Ga
2 1 1 1
Direct
0.5000 0.0000 0.0000
0.0000 0.5000 0.0000
0.5000 0.5000 0.5000
0.0000 0.0000 0.0000
0.0000 0.0000 0.5000

***

[4]
BaCa2Cl, relaxed, DFT PBE; relative energy among the computed polymorphs = 136 meV/atom; raw formation energy = -629.4 meV per atom; crystal system = tetragonal; SG = P4/mmm (123)
1.0
-3.3241 1.3131 -1.2431
-0.8319 -3.4204 -1.3886
-4.5159 -2.6623 9.2633
Cl Ca Ba
1 2 1
Direct
0.5000 0.5000 0.2500
0.0000 0.0000 0.4499
0.0000 0.0000 0.0501
0.5000 0.5000 0.7500

***

[5]
La2Ni15Rh2, relaxed, DFT PBE; calculated formation energy = -0.16 eV per atom; crystal system = trigonal; SG = R-3m (166)
1.0
-5.8396 -0.5576 2.5368
0.0385 -6.3600 0.6298
1.8316 -0.1563 6.1212
Ni Rh La
15 2 2
Direct
0.6561 0.6561 0.1556
0.1556 0.6561 0.6561
0.7091 0.2909 0.0000
0.2909 0.0000 0.7091
0.5000 0.0000 0.0000
0.0000 0.7091 0.2909
0.0000 0.0000 0.5000
0.6561 0.1556 0.6561
0.0000 0.2909 0.7091
0.3439 0.3439 0.8444
0.0000 0.5000 0.0000
0.7091 0.0000 0.2909
0.3439 0.8444 0.3439
0.8444 0.3439 0.3439
0.2909 0.7091 0.0000
0.8967 0.8967 0.8967
0.1033 0.1033 0.1033
0.6572 0.6572 0.6572
0.3428 0.3428 0.3428

***

[6]
TlIn5Hg2Bi, relaxed, DFT PBE; calculated formation energy = 0.02 eV per atom; crystal system = orthorhombic; SG = Cmc2_1 (36)
1.0
4.4462 0.0000 0.0000
-2.2231 8.3714 0.0000
0.0000 0.0000 13.8730
In Hg Tl Bi
10 4 2 2
Direct
0.7400 0.4799 0.1288
0.5619 0.1239 0.2514
0.9133 0.8266 0.5816
0.2600 0.5201 0.6288
0.4381 0.8761 0.7514
0.7877 0.5753 0.7928
0.4318 0.8636 0.0682
0.0867 0.1734 0.0816
0.5682 0.1364 0.5682
0.2123 0.4247 0.2928
0.0540 0.1079 0.4132
0.0965 0.1930 0.7258
0.9035 0.8070 0.2258
0.9460 0.8921 0.9132
0.3919 0.7838 0.3971
0.6081 0.2162 0.8971
0.2595 0.5191 0.9652
0.7405 0.4809 0.4652

***

[7]
CsHg2AsPd, relaxed, DFT PBE; calculated formation energy = -0.14 eV per atom; crystal system = tetragonal; SG = P4/mmm (123)
1.0
5.5209 0.0000 0.0000
0.0000 5.5209 0.0000
0.0000 0.0000 5.0049
Pd Hg Cs As
1 2 1 1
Direct
0.0000 0.0000 0.0000
0.5000 0.0000 0.0000
0.0000 0.5000 0.0000
0.5000 0.5000 0.5000
0.0000 0.0000 0.5000